1.
The following is a DFT calculation (PBE-GGA) of a relaxed LiLaBr2 crystal.

Unit cell a=4.223 b=4.223 c=6.300 alpha=90.00 beta=90.00 gamma=90.00
Space group P4mm (No. 99)
Asymmetric unit:
Li  0.000  0.000  0.000 (multiplicity 1)
La  0.500  0.500  0.594 (multiplicity 1)
Br  0.000  0.000  0.580 (multiplicity 1)
Br  0.500  0.500  0.096 (multiplicity 1)

Calculated values
Energy above the most stable polymorph in this dataset: 264 meV/atom
V: 112.3 Å³/f.u.
E_form (uncorrected): -438 kJ/mol of formula units

2.
The following is a DFT calculation (PBE-GGA) of a relaxed SrLiMg crystal.

Unit cell a=3.887 b=3.887 c=12.343 alpha=90.00 beta=90.00 gamma=90.00
Space group I4mm (No. 107)
Asymmetric unit:
Sr  0.000  0.000  0.000 (multiplicity 2)
Li  0.000  0.000  0.303 (multiplicity 2)
Mg  0.000  0.000  0.696 (multiplicity 2)

Calculated values
Energy above the most stable polymorph in this dataset: 41 meV/atom
V: 93.2 Å³/f.u.
DFT formation energy: 0.0 eV per formula unit

3.
The following is a DFT calculation (PBE-GGA) of a relaxed KPmPb2 crystal.

Unit cell a=3.7792 b=3.7792 c=33.3156 alpha=90.00 beta=90.00 gamma=120.00
Space group R-3m (No. 166, hexagonal axes)
Asymmetric unit:
K  0.0000  0.0000  0.0000 (multiplicity 3)
Pm  0.0000  0.0000  0.5000 (multiplicity 3)
Pb  0.0000  0.0000  0.2451 (multiplicity 6)

Calculated values
V: 137.4 Å³/f.u.
DFT formation energy: -0.7 eV per formula unit

4.
The following is a DFT calculation (PBE-GGA) of a relaxed MgVS crystal.

Unit cell a=3.126 b=3.126 c=13.189 alpha=96.72 beta=90.07 gamma=120.00
Space group P-1 (No. 2)
Asymmetric unit:
Mg  0.201  0.400  0.103 (multiplicity 2)
V  0.073  0.150  0.721 (multiplicity 2)
S  0.371  0.747  0.615 (multiplicity 2)

Calculated values
V: 55.3 Å³/f.u.
E_form (uncorrected): -93 kJ/mol of formula units

5.
The following is a DFT calculation (PBE-GGA) of a relaxed RbCoNiSe3 crystal.

Unit cell a=8.756 b=3.727 c=9.637 alpha=90.00 beta=113.65 gamma=90.00
Space group P2_1/m (No. 11)
Asymmetric unit:
Rb  0.230  0.250  0.259 (multiplicity 2)
Co  0.066  0.250  0.597 (multiplicity 2)
Ni  0.329  0.750  0.855 (multiplicity 2)
Se  0.146  0.250  0.857 (multiplicity 2)
Se  0.218  0.750  0.564 (multiplicity 2)
Se  0.484  0.750  0.131 (multiplicity 2)

Calculated values
V: 144.1 Å³/f.u.
E_form (uncorrected): -247 kJ/mol of formula units

6.
The following is a DFT calculation (PBE-GGA) of a relaxed RbNb3C crystal.

Unit cell a=4.535 b=4.535 c=4.535 alpha=90.00 beta=90.00 gamma=90.00
Space group Pm-3m (No. 221)
Asymmetric unit:
Rb  0.000  0.000  0.000 (multiplicity 1)
Nb  0.000  0.500  0.500 (multiplicity 3)
C  0.500  0.500  0.500 (multiplicity 1)

Calculated values
Energy above the most stable polymorph in this dataset: 0 meV/atom
V: 93.3 Å³/f.u.
DFT formation energy: 5.4 eV per formula unit

For each record above, in turn, the calculated uncorrected energy values are -3.68, -1.74, -3.50, -5.27, -4.48, -7.00 eV per atom.